The following is a PBE calculation of a relaxed structure of BaGa2Ge6, from the Alexandria database.

For the formation energy, the calculation gives -12 meV per atom. The calculation puts the calculated total energy at -71.574 eV/cell. The calculated volume is 412.43 Å³ per cell.

a = 10.591 Å, b = 10.591 Å, c = 4.527 Å
α = 99.52°, β = 99.52°, γ = 55.78°
Positions (direct):
Ba 0.229 0.771 0.750
Ba 0.771 0.229 0.250
Ga 0.190 0.348 0.967
Ga 0.348 0.190 0.467
Ga 0.652 0.810 0.533
Ga 0.810 0.652 0.033
Ge 0.021 0.363 0.385
Ge 0.025 0.212 0.824
Ge 0.212 0.025 0.324
Ge 0.334 0.482 0.172
Ge 0.363 0.021 0.885
Ge 0.482 0.334 0.672
Ge 0.518 0.666 0.328
Ge 0.637 0.979 0.115
Ge 0.666 0.518 0.828
Ge 0.788 0.975 0.676
Ge 0.975 0.788 0.176
Ge 0.979 0.637 0.615